Record 1
GGA-PBE LaTb2HgC, optimized geometry; total magnetic moment = 0.00 μB/f.u.; space-group type = I4/mcm, No. 140; total energy = -50.81 eV per cell; E_form = -0.3382 eV/atom; crystal system = tetragonal
1.0
6.951 0.000 0.000
0.000 6.951 0.000
-3.475 -3.475 5.209
Tb C Hg La
4 2 2 2
Direct
0.308 0.808 0.000
0.808 0.692 0.000
0.192 0.308 0.000
0.692 0.192 0.000
0.500 0.500 0.000
0.000 0.000 0.000
0.750 0.250 0.500
0.250 0.750 0.500
0.750 0.750 0.500
0.250 0.250 0.500

***

Record 2
GGA-PBE CeIn2Au, optimized geometry; total magnetic moment = 0.81 μB/f.u.; space-group type = I4/mmm, No. 139; ΔE to the lowest computed polymorph = 0 meV/atom; total energy = -33.41 eV per cell; E_form = -0.5041 eV/atom; crystal system = tetragonal
1.0
-3.763 1.993 2.311
-2.731 -3.837 -1.137
5.611 -2.870 6.533
Ce In Au
2 4 2
Direct
0.862 0.862 0.725
0.138 0.138 0.275
0.360 0.360 0.719
0.640 0.640 0.281
0.500 0.000 0.000
0.000 0.500 0.000
0.250 0.750 0.500
0.750 0.250 0.500

***

Record 3
GGA-PBE TcSnSbBrF, optimized geometry; total magnetic moment = 0.00 μB/f.u.; space-group type = P1, No. 1; ΔE to the lowest computed polymorph = 0 meV/atom; total energy = -24.98 eV per cell; crystal system = triclinic
1.0
-2.270 0.056 2.150
2.339 -3.029 2.549
2.758 7.807 2.661
Sn Tc Br F Sb
1 1 1 1 1
Direct
0.828 0.949 0.486
0.328 0.450 0.487
0.325 0.302 0.186
0.831 0.090 0.772
0.831 0.587 0.766

***

Record 4
GGA-PBE HgPdBr, optimized geometry; total magnetic moment = 0.00 μB/f.u.; space-group type = P1, No. 1; ΔE to the lowest computed polymorph = 9 meV/atom; total energy = -15.32 eV per cell; crystal system = triclinic
1.0
4.370 0.001 -0.001
-0.003 5.324 0.000
-2.142 -2.010 6.147
Br Pd Hg
2 2 2
Direct
0.726 0.647 0.902
0.328 0.210 0.108
0.148 0.333 0.748
0.921 0.007 0.284
0.997 0.589 0.447
0.554 0.038 0.556

***

Record 5
GGA-PBE NaCa2Y2, optimized geometry; total magnetic moment = 1.79 μB/f.u.; space-group type = P4/mbm, No. 127; ΔE to the lowest computed polymorph = 0 meV/atom; total energy = -33.26 eV per cell; E_form = 0.3241 eV/atom; crystal system = tetragonal
1.0
10.250 0.000 0.000
0.000 10.250 0.000
0.000 0.000 3.791
Ca Y Na
4 4 2
Direct
0.823 0.323 0.500
0.323 0.177 0.500
0.677 0.823 0.500
0.177 0.677 0.500
0.886 0.614 0.000
0.386 0.886 0.000
0.114 0.386 0.000
0.614 0.114 0.000
0.500 0.500 0.000
0.000 0.000 0.000

***

Record 6
GGA-PBE Na3HfGa, optimized geometry; total magnetic moment = 0.00 μB/f.u.; space-group type = Pm-3m, No. 221; ΔE to the lowest computed polymorph = 0 meV/atom; total energy = -11.80 eV per cell; E_form = 1.0274 eV/atom; crystal system = cubic
1.0
5.366 0.000 0.000
0.000 5.366 0.000
0.000 0.000 5.366
Na Hf Ga
3 1 1
Direct
0.500 0.000 0.000
0.000 0.500 0.000
0.000 0.000 0.500
0.500 0.500 0.500
0.000 0.000 0.000

***

Record 7
GGA-PBE La3HgN, optimized geometry; total magnetic moment = 0.00 μB/f.u.; space-group type = Amm2, No. 38; total energy = -26.05 eV per cell; crystal system = orthorhombic
1.0
3.660 0.000 0.000
0.000 4.919 -4.162
0.000 4.919 4.162
La Hg N
3 1 1
Direct
0.500 0.898 0.438
0.500 0.562 0.102
0.000 0.400 0.600
0.500 0.081 0.919
0.000 0.688 0.312

***

Record 8
GGA-PBE Na3ScPd2O6, optimized geometry; total magnetic moment = 2.02 μB/f.u.; space-group type = C2/m, No. 12; total energy = -68.07 eV per cell; crystal system = monoclinic
1.0
5.562 -0.087 0.032
-2.855 4.774 0.032
-0.872 -1.510 5.419
Pd O Na Sc
2 6 3 1
Direct
0.336 0.664 0.000
0.664 0.336 0.000
0.592 0.916 0.792
0.747 0.747 0.220
0.916 0.592 0.792
0.408 0.084 0.208
0.084 0.408 0.208
0.253 0.253 0.780
0.827 0.173 0.500
0.173 0.827 0.500
0.500 0.500 0.500
0.000 0.000 0.000